(1)
Zr2ScIn | meta-GGA SCAN | single point on PBEsol structure

Cell lengths 3.203, 4.196, 6.482 Å; angles 90.00, 90.00, 90.00 degrees
Space group Pmm2 (No. 25)
Symmetry-distinct sites (fractional):
Zr: 0.000 0.000 0.000 x1
Zr: 0.500 0.500 0.242 x1
Sc: 0.500 0.500 0.743 x1
In: 0.000 0.000 0.497 x1

Mass density, g/cm3: 6.52
Final energy, eV for the cell shown: -110.03
Calculated formation energy, eV per atom: -0.252

(2)
HfNbAgB2 | meta-GGA SCAN | single point on PBEsol structure

Cell lengths 4.052, 4.052, 5.030 Å; angles 90.00, 90.00, 90.00 degrees
Space group P4/mmm (No. 123)
Symmetry-distinct sites (fractional):
Hf: 0.000 0.000 0.000 x1
Nb: 0.500 0.500 0.000 x1
Ag: 0.500 0.500 0.500 x1
B: 0.000 0.500 0.500 x2

Mass density, g/cm3: 8.06
Final energy, eV for the cell shown: -134.24
Calculated formation energy, eV per atom: 1.558